A plane-wave DFT calculation with GGA-PBE was carried out for crystalline La2ScSb3 at its relaxed geometry.

Geometry as POSCAR:
```
La2ScSb3
1.0
-2.166 -0.811 -7.419
1.696 -6.272 4.264
-6.812 1.914 3.146
La Sc Sb
4 2 6
Direct
0.833 0.167 0.500
0.333 0.667 0.000
0.172 0.828 0.500
0.495 0.505 0.500
0.002 0.998 0.000
0.665 0.335 0.000
0.607 0.940 0.773
0.060 0.393 0.227
0.907 0.589 0.767
0.255 0.240 0.767
0.411 0.093 0.233
0.760 0.745 0.233
```

Total energy in Ha/atom: -0.21617
Formation energy without anion corrections in eV/f.u.: -6.7
Calculated volume in Å³ per cell: 381.2
M_tot in μB/f.u.: 0.000